Sm2BRu3 PBE optimized geometry; DFT formation energy = 0.18 eV/atom; DOS(E_F) = 6.80 states/eV per cell
1.0
-1.605 2.529 -1.178
-3.827 -2.962 -1.146
0.034 1.338 7.221
Sm B Ru
2 1 3
direct
0.682 0.182 0.364
0.318 0.818 0.636
0.000 0.500 0.000
0.396 0.396 0.792
0.000 0.000 0.000
0.604 0.604 0.208